This record from Alexandria via LeMat-Bulk describes a relaxed DySBr crystal. The functional is GGA-PBE.

a b c (Å): 4.0907 7.1710 7.8107
angles (deg): 112.38 105.18 90.00
Atoms (fractional coordinates):
Br (0.8637, 0.1744, 0.7273)
Br (0.1363, 0.8256, 0.2727)
Dy (0.2446, 0.2736, 0.4892)
Dy (0.7554, 0.7264, 0.5108)
S (0.3520, 0.6681, 0.7039)
S (0.6480, 0.3319, 0.2961)

Output
* formation energy from raw total energies: -5.805 eV/f.u.
* energy above the most stable polymorph in this dataset: 83 meV/atom
* size of the total moment: 0.0 μB per formula unit
* SG: C2/m